(1)
# ZrSbIO2

An optimized crystal structure of ZrSbIO2 (GGA-PBE, Alexandria via LeMat-Bulk).

Cell lengths 4.1638, 4.1638, 6.3239 Å; angles 90.00, 90.00, 90.00 degrees
Fractional coordinates of all 5 atoms:
I 0.0000 0.0000 0.5000
Sb 0.0000 0.0000 0.0000
O 0.0000 0.5000 0.0000
O 0.5000 0.0000 0.0000
Zr 0.5000 0.5000 0.5000

Results
The value obtained for the density of states at the Fermi level is 0.997 states/eV/atom. Its energy above the lowest structure with this stoichiometry is 1.007 eV per atom. The value obtained for the total magnetization is 1.89 μB per formula unit. The uncorrected formation energy comes out at -0.1219 eV per atom.



(2)
# ScIO

An optimized crystal structure of ScIO (GGA-PBE, Alexandria via LeMat-Bulk).

Cell lengths 3.5583, 3.5583, 6.4114 Å; angles 90.00, 90.00, 120.00 degrees
Fractional coordinates of all 3 atoms:
I 0.0000 0.0000 0.0826
Sc 0.6667 0.3333 0.4179
O 0.3333 0.6667 0.4995

Results
The value obtained for the total magnetization is 0.00 μB per formula unit. The uncorrected formation energy comes out at -2.2354 eV per atom.



(3)
# ScI2O2

An optimized crystal structure of ScI2O2 (GGA-PBE, Alexandria via LeMat-Bulk).

Cell lengths 4.1450, 4.1450, 7.1137 Å; angles 90.00, 90.00, 90.00 degrees
Fractional coordinates of all 5 atoms:
I 0.0000 0.0000 0.0000
I 0.0000 0.0000 0.5000
Sc 0.5000 0.5000 0.5000
O 0.0000 0.5000 0.0000
O 0.5000 0.0000 0.0000

Results
The value obtained for the density of states at the Fermi level is 0.698 states/eV/atom. Its energy above the lowest structure with this stoichiometry is 0.924 eV per atom. The value obtained for the total magnetization is 0.93 μB per formula unit. The uncorrected formation energy comes out at -0.0543 eV per atom.



(4)
# ScIO

An optimized crystal structure of ScIO (GGA-PBE, Alexandria via LeMat-Bulk).

Cell lengths 3.5757, 3.5757, 17.3332 Å; angles 90.00, 90.00, 120.00 degrees
Fractional coordinates of all 9 atoms:
Sc 0.0000 0.0000 0.4894
Sc 0.3333 0.6667 0.1560
Sc 0.6667 0.3333 0.8227
I 0.0000 0.0000 0.6973
I 0.3333 0.6667 0.3640
I 0.6667 0.3333 0.0307
O 0.0000 0.0000 0.1825
O 0.3333 0.6667 0.8492
O 0.6667 0.3333 0.5159

Results
The value obtained for the total magnetization is 0.00 μB per formula unit. The uncorrected formation energy comes out at -2.2402 eV per atom.



(5)
# ScIO

An optimized crystal structure of ScIO (GGA-PBE, Alexandria via LeMat-Bulk).

Cell lengths 4.0587, 5.8960, 12.2798 Å; angles 90.00, 90.00, 90.00 degrees
Fractional coordinates of all 12 atoms:
Sc 0.0000 0.2500 0.3440
Sc 0.0000 0.7500 0.6560
Sc 0.5000 0.7500 0.8440
Sc 0.5000 0.2500 0.1560
I 0.0000 0.2500 0.5982
I 0.0000 0.7500 0.4018
I 0.5000 0.7500 0.0982
I 0.5000 0.2500 0.9018
O 0.0000 0.2500 0.1811
O 0.0000 0.7500 0.8189
O 0.5000 0.7500 0.6811
O 0.5000 0.2500 0.3189

Results
The value obtained for the density of states at the Fermi level is 0.000 states/eV/atom. The value obtained for the total magnetization is 0.00 μB per formula unit. The uncorrected formation energy comes out at -2.3898 eV per atom.



(6)
# ScI3O

An optimized crystal structure of ScI3O (GGA-PBE, Alexandria via LeMat-Bulk).

Cell lengths 5.1096, 5.1096, 5.1096 Å; angles 90.00, 90.00, 90.00 degrees
Fractional coordinates of all 5 atoms:
I 0.0000 0.5000 0.0000
I 0.0000 0.0000 0.5000
I 0.5000 0.0000 0.0000
Sc 0.5000 0.5000 0.5000
O 0.0000 0.0000 0.0000

Results
The value obtained for the density of states at the Fermi level is 2.182 states/eV/atom. Its energy above the lowest structure with this stoichiometry is 0.190 eV per atom. The value obtained for the total magnetization is 0.02 μB per formula unit. The uncorrected formation energy comes out at 0.1808 eV per atom.



(7)
# Sc7I12O

An optimized crystal structure of Sc7I12O (GGA-PBE, Alexandria via LeMat-Bulk).

Cell lengths 9.4720, 9.4720, 9.4720 Å; angles 108.56, 108.56, 108.56 degrees
Fractional coordinates of all 20 atoms:
Sc 0.9651 0.7348 0.9086
Sc 0.2652 0.0914 0.0349
Sc 0.0914 0.0349 0.2652
Sc 0.5000 0.5000 0.5000
Sc 0.9086 0.9651 0.7348
Sc 0.7348 0.9086 0.9651
Sc 0.0349 0.2652 0.0914
I 0.9274 0.2898 0.7816
I 0.7102 0.2184 0.0726
I 0.4545 0.1551 0.3814
I 0.8449 0.6186 0.5455
I 0.2184 0.0726 0.7102
I 0.6186 0.5455 0.8449
I 0.3814 0.4545 0.1551
I 0.7816 0.9274 0.2898
I 0.1551 0.3814 0.4545
I 0.5455 0.8449 0.6186
I 0.2898 0.7816 0.9274
I 0.0726 0.7102 0.2184
O 0.0000 0.0000 0.0000

Results
The value obtained for the density of states at the Fermi level is 0.160 states/eV/atom. The value obtained for the total magnetization is 0.00 μB per formula unit. The uncorrected formation energy comes out at -1.2555 eV per atom.



(8)
# ScIO

An optimized crystal structure of ScIO (GGA-PBE, Alexandria via LeMat-Bulk).

Cell lengths 3.6399, 3.6399, 5.7313 Å; angles 90.00, 90.00, 120.00 degrees
Fractional coordinates of all 3 atoms:
Sc 0.3333 0.6667 0.5000
I 0.3333 0.6667 0.0000
O 0.6667 0.3333 0.5000

Results
The value obtained for the density of states at the Fermi level is 0.150 states/eV/atom. The value obtained for the total magnetization is 0.00 μB per formula unit. The uncorrected formation energy comes out at -2.1465 eV per atom.



(9)
# Sc2IO

An optimized crystal structure of Sc2IO (GGA-PBE, Alexandria via LeMat-Bulk).

Cell lengths 7.9429, 7.9429, 7.9429 Å; angles 25.73, 25.73, 25.73 degrees
Fractional coordinates of all 4 atoms:
I 0.0000 0.0000 0.0000
Sc 0.8804 0.8804 0.8804
Sc 0.1196 0.1196 0.1196
O 0.5000 0.5000 0.5000

Results
The value obtained for the density of states at the Fermi level is 0.950 states/eV/atom. Its energy above the lowest structure with this stoichiometry is 0.170 eV per atom. The value obtained for the total magnetization is 0.00 μB per formula unit. The uncorrected formation energy comes out at -1.3460 eV per atom.



(10)
# ScIO6

An optimized crystal structure of ScIO6 (GGA-PBE, Alexandria via LeMat-Bulk).

Cell lengths 5.5796, 5.5802, 5.5776 Å; angles 59.97, 59.98, 60.00 degrees
Fractional coordinates of all 8 atoms:
Sc 0.5000 0.5000 0.5000
I 0.0000 0.0000 0.0000
O 0.2341 0.2375 0.7641
O 0.7642 0.2341 0.7642
O 0.7626 0.2357 0.2358
O 0.2358 0.7659 0.2358
O 0.7659 0.7625 0.2359
O 0.2374 0.7643 0.7642

Results
The value obtained for the density of states at the Fermi level is 0.438 states/eV/atom. The value obtained for the total magnetization is 2.03 μB per formula unit. The uncorrected formation energy comes out at -0.9309 eV per atom.



(11)
# ScI2O2

An optimized crystal structure of ScI2O2 (GGA-PBE, Alexandria via LeMat-Bulk).

Cell lengths 4.2196, 4.2196, 6.6405 Å; angles 90.00, 90.00, 90.00 degrees
Fractional coordinates of all 5 atoms:
I 0.5000 0.5000 0.5000
I 0.0000 0.0000 0.5000
Sc 0.0000 0.0000 0.0000
O 0.0000 0.5000 0.0000
O 0.5000 0.0000 0.0000

Results
The value obtained for the density of states at the Fermi level is 0.973 states/eV/atom. Its energy above the lowest structure with this stoichiometry is 0.000 eV per atom. The value obtained for the total magnetization is 0.00 μB per formula unit. The uncorrected formation energy comes out at -0.9781 eV per atom.



(12)
# Sc6IO12

An optimized crystal structure of Sc6IO12 (GGA-PBE, Alexandria via LeMat-Bulk).

Cell lengths 6.1760, 6.1760, 6.1760 Å; angles 99.04, 99.04, 99.04 degrees
Fractional coordinates of all 19 atoms:
Sc 0.6699 0.8537 0.3917
Sc 0.6083 0.3301 0.1463
Sc 0.1463 0.6083 0.3301
Sc 0.3301 0.1463 0.6083
Sc 0.3917 0.6699 0.8537
Sc 0.8537 0.3917 0.6699
I 0.0000 0.0000 0.0000
O 0.8217 0.5808 0.4132
O 0.4132 0.8217 0.5808
O 0.5808 0.4132 0.8217
O 0.1783 0.4192 0.5868
O 0.5868 0.1783 0.4192
O 0.4192 0.5868 0.1783
O 0.0933 0.9524 0.3129
O 0.0476 0.6871 0.9067
O 0.6871 0.9067 0.0476
O 0.9067 0.0476 0.6871
O 0.9524 0.3129 0.0933
O 0.3129 0.0933 0.9524

Results
The value obtained for the density of states at the Fermi level is 0.180 states/eV/atom. The value obtained for the total magnetization is 0.82 μB per formula unit. The uncorrected formation energy comes out at -2.8412 eV per atom.